# 1
Material: Na4MgGePt2
Method: DFT, PBE
State: relaxed

```
Na4MgGePt2
1.0
4.761 0.000 0.000
0.000 4.761 0.000
0.000 0.000 6.662
Na Mg Ge Pt
4 1 1 2
Cartesian
0.000 0.000 0.000 Na
0.000 2.380 4.955 Na
2.380 0.000 1.707 Na
2.380 2.380 3.331 Na
2.380 2.380 0.000 Mg
0.000 0.000 3.331 Ge
0.000 2.380 1.786 Pt
2.380 0.000 4.876 Pt
```


# 2
Material: Na2Mg2SnGePt2
Method: DFT, PBE
State: relaxed

```
Na2Mg2SnGePt2
1.0
4.656 0.000 0.000
0.000 4.656 0.000
0.000 0.000 6.650
Na Mg Sn Ge Pt
2 2 1 1 2
Cartesian
0.000 2.328 1.568 Na
2.328 0.000 5.082 Na
0.000 0.000 0.000 Mg
2.328 2.328 3.325 Mg
0.000 0.000 3.325 Sn
2.328 2.328 0.000 Ge
0.000 2.328 5.040 Pt
2.328 0.000 1.610 Pt
```


| no. | final energy (eV per atom) |
| --- | --- |
| 1 | -3.124 |
| 2 | -3.707 |